The following is a PBE calculation of a geometry-optimized TaSbTeOs2 structure, from the Alexandria database.

abc: 4.839 5.102 4.839
angles: 90.00 90.00 90.00
Fractional coordinates of all 5 atoms:
Os  0.000  0.000  0.500
Os  0.500  0.000  0.000
Ta  0.000  0.500  0.000
Sb  0.000  0.000  0.000
Te  0.500  0.500  0.500

Computed properties:
* E_form (uncorrected): 2096 meV per atom
* N(E_F): 4.27 states/eV per cell